Entry 1:
The following is a PBE calculation of crystalline CeGa4Sn at its relaxed geometry, from the Alexandria database.

The space group is F-43m (No. 216) and the conventional cell measures 7.964, 7.964 and 7.964 Å, with angles of 90.00, 90.00 and 90.00 degrees. The distinct sites, in fractional coordinates, are Ce at (0.000, 0.000, 0.000), Ga at (0.125, 0.125, 0.375) and Sn at (0.250, 0.250, 0.750).

The density of states at the Fermi level comes out at 36.7 states/eV/cell. The energy is -3.897 eV/atom. For the formation energy, the calculation gives -0.223 eV per atom. The calculated volume comes out at 21.0 Å³/atom.

Entry 2:
The following is a PBE calculation of crystalline Rb2LiMnI6 at its relaxed geometry, from the Alexandria database.

The space group is P1 (No. 1) and the conventional cell measures 7.594, 7.594 and 8.799 Å, with angles of 115.53, 115.53 and 90.01 degrees. The distinct sites, in fractional coordinates, are Rb at (0.000, 0.000, 0.000), Rb at (0.499, 0.500, 0.000), Li at (0.808, 0.308, 0.616), Mn at (0.278, 0.778, 0.555), I at (0.068, 0.051, 0.494), I at (0.425, 0.443, 0.493), I at (0.479, 0.979, 0.957), I at (0.550, 0.925, 0.493), I at (0.943, 0.569, 0.494) and I at (0.999, 0.499, 0.999).

The density of states at the Fermi level comes out at 0.1 states/eV/cell. The energy is -3.177 eV/atom. For the formation energy without anion corrections, the calculation gives -0.945 eV per atom. The calculated volume comes out at 40.2 Å³/atom.

In order of appearance, magnetic moment = 0.98 3.95 μB per formula unit.